Below is a relaxed CsTl2Sb2 crystal, with properties calculated at the PBE-GGA level.

Lattice parameters (Å, degrees): 4.830 4.830 9.005 74.44 74.44 90.00
Fractional coordinates of all 5 atoms:
Tl 0.623 0.623 0.755
Tl 0.377 0.377 0.245
Sb 0.750 0.250 0.500
Sb 0.250 0.750 0.500
Cs 0.000 0.000 0.000

## Properties
Its space group is I4/mmm, No. 139. The value obtained for the formation energy from raw total energies is -145 meV per atom. Its uncorrected energy is -2.9109 eV/atom. The value obtained for the energy above the lowest structure with this stoichiometry is 6.11 kJ/mol of atoms.

Below is a relaxed MgAl3Pt4 crystal, with properties calculated at the PBE-GGA level.

Lattice parameters (Å, degrees): 4.579 5.754 9.068 90.00 90.00 90.00
Fractional coordinates of all 16 atoms:
Pt 0.060 0.756 0.750
Pt 0.940 0.756 0.250
Pt 0.060 0.244 0.750
Pt 0.500 0.245 0.000
Pt 0.500 0.755 0.500
Pt 0.500 0.245 0.500
Pt 0.940 0.244 0.250
Pt 0.500 0.755 0.000
Al 0.446 0.500 0.250
Al 0.554 0.500 0.750
Al 0.440 0.000 0.250
Al 0.000 0.000 0.000
Al 0.560 0.000 0.750
Al 0.000 0.000 0.500
Mg 0.000 0.500 0.500
Mg 0.000 0.500 0.000

## Properties
Its space group is Pmma, No. 51. For the formation enthalpy at 0 K, the calculation gives -737.5 kJ/mol of formula units. Its uncorrected energy is -5.5787 eV/atom.

Below is a relaxed Pm12Pr6Y crystal, with properties calculated at the PBE-GGA level.

Lattice parameters (Å, degrees): 8.768 8.768 8.768 89.38 89.38 89.38
Fractional coordinates of all 19 atoms:
Pr 0.094 0.697 0.263
Pr 0.906 0.303 0.737
Pr 0.263 0.094 0.697
Pr 0.303 0.737 0.906
Pr 0.697 0.263 0.094
Pr 0.737 0.906 0.303
Pm 0.465 0.564 0.222
Pm 0.222 0.465 0.564
Pm 0.778 0.535 0.436
Pm 0.359 0.018 0.194
Pm 0.436 0.778 0.535
Pm 0.982 0.806 0.641
Pm 0.564 0.222 0.465
Pm 0.806 0.641 0.982
Pm 0.018 0.194 0.359
Pm 0.194 0.359 0.018
Pm 0.641 0.982 0.806
Pm 0.535 0.436 0.778
Y 0.000 0.000 0.000

## Properties
Its space group is R-3, No. 148. For the formation enthalpy at 0 K, the calculation gives 239.3 kJ/mol of formula units. Its uncorrected energy is -4.7194 eV/atom. The value obtained for the energy above the lowest structure with this stoichiometry is 0.00 kJ/mol of atoms.